# 1
A plane-wave DFT calculation with PBE was carried out for crystalline Li3PuBr6 at its relaxed geometry.

It has space group P-1 (No. 2), with a = 7.879 Å, b = 7.886 Å, c = 7.886 Å, α = 61.46°, β = 61.41° and γ = 61.40°. Symmetry generates all atoms from Li at (0.000, 0.000, 0.000), Li at (0.000, 0.000, 0.500), Li at (0.000, 0.500, 0.000), Pu at (0.500, 0.500, 0.500), Br at (0.224, 0.271, 0.773), Br at (0.226, 0.776, 0.268) and Br at (0.227, 0.757, 0.757).

The uncorrected formation energy comes out at -1.45 eV per atom. The calculation puts the total DFT energy (no corrections) at -4.46 eV per atom. The density of states at the Fermi level comes out at 9.5 states/eV/cell. As for the polymorph energy (0 for the lowest one): 0.0000 eV per atom.

=====

# 2
A plane-wave DFT calculation with PBE was carried out for crystalline TcGeN2O at its relaxed geometry.

It has space group P4/mmm (No. 123), with a = 3.846 Å, b = 3.846 Å, c = 3.625 Å, α = 90.00°, β = 90.00° and γ = 90.00°. Symmetry generates all atoms from Tc at (0.000, 0.000, 0.000), Ge at (0.500, 0.500, 0.500), N at (0.000, 0.500, 0.500) and O at (0.500, 0.500, 0.000).

The uncorrected formation energy comes out at 0.82 eV per atom. The calculation puts the total DFT energy (no corrections) at -6.50 eV per atom. The density of states at the Fermi level comes out at 2.0 states/eV/cell.

=====

# 3
A plane-wave DFT calculation with PBE was carried out for crystalline Ca2Cu2SnPt5 at its relaxed geometry.

It has space group P4/mbm (No. 127), with a = 9.496 Å, b = 9.496 Å, c = 3.909 Å, α = 90.00°, β = 90.00° and γ = 90.00°. Symmetry generates all atoms from Ca at (0.174, 0.326, 0.000), Cu at (0.123, 0.623, 0.000), Sn at (0.000, 0.000, 0.000), Pt at (0.000, 0.500, 0.500) and Pt at (0.068, 0.790, 0.500).

The calculation puts the total DFT energy (no corrections) at -5.30 eV per atom. The density of states at the Fermi level comes out at 7.2 states/eV/cell. The value obtained for the formation enthalpy at 0 K is -0.6641 eV/atom.

=====

Q: Which of these has the highest total DFT energy (no corrections)?
A: Li3PuBr6